A plane-wave DFT calculation with PBE-GGA was carried out for a geometry-optimized LiAl5Ni structure.

Cell lengths 4.105, 4.105, 6.531 Å; angles 90.00, 90.00, 90.00 degrees
Space group P4/mmm (No. 123)
One atom of each set of equivalent atoms:
Li: 0.000 0.000 0.000 x1
Al: 0.000 0.500 0.293 x4
Al: 0.500 0.500 0.000 x1
Ni: 0.000 0.000 0.500 x1

Calculated values
- mass density (g/cm³) = 3.03
- DFT formation energy (eV per atom) = -0.28
- spin magnetization (μB/cell) = 0.0

A plane-wave DFT calculation with PBE-GGA was carried out for a geometry-optimized Ba2FeRe structure.

Cell lengths 5.714, 5.714, 3.525 Å; angles 90.00, 90.00, 90.00 degrees
Space group P4/mmm (No. 123)
One atom of each set of equivalent atoms:
Ba: 0.000 0.500 0.000 x2
Fe: 0.000 0.000 0.500 x1
Re: 0.500 0.500 0.500 x1

Calculated values
- mass density (g/cm³) = 7.46
- DFT formation energy (eV per atom) = 1.36
- offset from the most stable computed form (kJ per mole of atoms) = 89.6
- spin magnetization (μB/cell) = 4.9

A plane-wave DFT calculation with PBE-GGA was carried out for a geometry-optimized BaRh5 structure.

Cell lengths 2.915, 2.915, 12.238 Å; angles 90.00, 90.00, 90.00 degrees
Space group P4/mmm (No. 123)
One atom of each set of equivalent atoms:
Ba: 0.000 0.000 0.000 x1
Rh: 0.000 0.000 0.352 x2
Rh: 0.500 0.500 0.214 x2
Rh: 0.500 0.500 0.500 x1

Calculated values
- mass density (g/cm³) = 10.41
- DFT formation energy (eV per atom) = 0.36
- spin magnetization (μB/cell) = 0.0

A plane-wave DFT calculation with PBE-GGA was carried out for a geometry-optimized CeB5C2 structure.

Cell lengths 4.492, 5.299, 6.616 Å; angles 90.00, 90.00, 90.00 degrees
Space group Immm (No. 71)
One atom of each set of equivalent atoms:
Ce: 0.000 0.000 0.000 x2
B: 0.000 0.500 0.500 x2
B: 0.205 0.000 0.374 x8
C: 0.000 0.500 0.265 x4

Calculated values
- mass density (g/cm³) = 4.60
- DFT formation energy (eV per atom) = 0.35
- spin magnetization (μB/cell) = 1.6

A plane-wave DFT calculation with PBE-GGA was carried out for a geometry-optimized LaHo5Tl6 structure.

Cell lengths 9.848, 11.320, 6.593 Å; angles 90.00, 102.73, 90.00 degrees
Space group C2/m (No. 12)
One atom of each set of equivalent atoms:
La: 0.000 0.000 0.000 x2
Ho: 0.000 0.166 0.500 x4
Ho: 0.000 0.337 0.000 x4
Ho: 0.000 0.500 0.500 x2
Tl: 0.246 0.326 0.744 x8
Tl: 0.248 0.500 0.266 x4

Calculated values
- mass density (g/cm³) = 10.15
- DFT formation energy (eV per atom) = -0.25
- offset from the most stable computed form (kJ per mole of atoms) = 8.9
- spin magnetization (μB/cell) = 0.0

A plane-wave DFT calculation with PBE-GGA was carried out for a geometry-optimized Ce6ZnTc5 structure.

Cell lengths 5.366, 8.009, 6.395 Å; angles 90.00, 114.55, 90.00 degrees
Space group P2/m (No. 10)
One atom of each set of equivalent atoms:
Ce: 0.000 0.220 0.000 x2
Ce: 0.321 0.274 0.640 x4
Zn: 0.500 0.000 0.000 x1
Tc: 0.117 0.500 0.239 x2
Tc: 0.197 0.000 0.393 x2
Tc: 0.500 0.500 0.000 x1

Calculated values
- mass density (g/cm³) = 9.27
- DFT formation energy (eV per atom) = -0.06
- spin magnetization (μB/cell) = 0.0

A plane-wave DFT calculation with PBE-GGA was carried out for a geometry-optimized Sc8Zn2Co structure.

Cell lengths 15.939, 4.819, 6.296 Å; angles 90.00, 110.10, 90.00 degrees
Space group C2/m (No. 12)
One atom of each set of equivalent atoms:
Sc: 0.022 0.000 0.286 x4
Sc: 0.091 0.500 0.929 x4
Sc: 0.156 0.500 0.458 x4
Sc: 0.197 0.000 0.794 x4
Zn: 0.181 0.000 0.205 x4
Co: 0.000 0.500 0.500 x2

Calculated values
- mass density (g/cm³) = 4.02
- DFT formation energy (eV per atom) = -0.19
- offset from the most stable computed form (kJ per mole of atoms) = 0.0
- spin magnetization (μB/cell) = 0.0

A plane-wave DFT calculation with PBE-GGA was carried out for a geometry-optimized NiMoRhN2 structure.

Cell lengths 3.677, 3.677, 5.521 Å; angles 90.00, 90.00, 90.00 degrees
Space group P4/mmm (No. 123)
One atom of each set of equivalent atoms:
Ni: 0.000 0.000 0.000 x1
Mo: 0.500 0.500 0.000 x1
Rh: 0.500 0.500 0.500 x1
N: 0.000 0.500 0.500 x2

Calculated values
- uncorrected formation energy (eV/atom) = 1.7174
- mass density (g/cm³) = 6.35
- spin magnetization (μB/cell) = 0.0

A plane-wave DFT calculation with PBE-GGA was carried out for a geometry-optimized Cu3Te2 structure.

Cell lengths 6.4659, 6.4659, 17.0259 Å; angles 90.00, 90.00, 120.00 degrees
Space group R-3c (No. 167, hexagonal axes)
One atom of each set of equivalent atoms:
Cu: 0.0000 0.2244 0.2500 x18
Te: 0.0000 0.0000 0.1117 x12

Calculated values
- uncorrected formation energy (eV/atom) = 0.0237
- mass density (g/cm³) = 7.21
- spin magnetization (μB/cell) = 0.0

A plane-wave DFT calculation with PBE-GGA was carried out for a geometry-optimized Pa2CuMoN6 structure.

Cell lengths 5.239, 5.239, 4.888 Å; angles 90.00, 90.00, 90.00 degrees
Space group P4mm (No. 99)
One atom of each set of equivalent atoms:
Pa: 0.000 0.500 0.000 x2
Cu: 0.000 0.000 0.581 x1
Mo: 0.500 0.500 0.587 x1
N: 0.000 0.000 0.175 x1
N: 0.255 0.255 0.740 x4
N: 0.500 0.500 0.206 x1

Calculated values
- uncorrected formation energy (eV/atom) = -0.5555
- mass density (g/cm³) = 8.73
- spin magnetization (μB/cell) = 0.4

A plane-wave DFT calculation with PBE-GGA was carried out for a geometry-optimized Ti2V2Ag structure.

Cell lengths 6.904, 6.904, 3.385 Å; angles 90.00, 90.00, 90.00 degrees
Space group P4/mbm (No. 127)
One atom of each set of equivalent atoms:
Ti: 0.173 0.327 0.000 x4
V: 0.119 0.619 0.500 x4
Ag: 0.000 0.000 0.500 x2

Calculated values
- mass density (g/cm³) = 6.29
- DFT formation energy (eV per atom) = 0.24
- spin magnetization (μB/cell) = 0.0

A plane-wave DFT calculation with PBE-GGA was carried out for a geometry-optimized ScTaMo2 structure.

Cell lengths 2.755, 4.762, 5.395 Å; angles 90.00, 90.00, 90.00 degrees
Space group Pmm2 (No. 25)
One atom of each set of equivalent atoms:
Sc: 0.000 0.000 0.000 x1
Ta: 0.500 0.500 0.256 x1
Mo: 0.000 0.000 0.504 x1
Mo: 0.500 0.500 0.751 x1

Calculated values
- mass density (g/cm³) = 9.80
- DFT formation energy (eV per atom) = 0.25
- offset from the most stable computed form (kJ per mole of atoms) = 22.9
- spin magnetization (μB/cell) = 0.0